[1]
Below is a geometry-optimized Sc2Sb structure, with properties calculated at the PBE-GGA level.

Lattice parameters (Å, degrees): 7.773 7.773 4.502 90.00 90.00 149.83
Each line ends with the local moment (μB).
Fractional positions:
Sc  0.424  0.576  0.250  -0.08
Sc  0.576  0.424  0.750  -0.08
Sc  0.756  0.244  0.250  0.15
Sc  0.244  0.756  0.750  0.15
Sb  0.102  0.898  0.250  0.00
Sb  0.898  0.102  0.750  0.00

Output
* electronic total energy: -6.27 eV per atom
* space-group type: No. 63
* crystal system: orthorhombic



[2]
Below is a geometry-optimized Y2Be3AgPt4 structure, with properties calculated at the PBE-GGA level.

Lattice parameters (Å, degrees): 3.986 3.986 10.472 90.00 90.00 90.00
Fractional positions:
Pt  0.000  0.500  0.330
Pt  0.500  0.000  0.670
Pt  0.000  0.000  0.000
Pt  0.500  0.500  0.000
Ag  0.500  0.500  0.500
Y  0.000  0.500  0.763
Y  0.500  0.000  0.237
Be  0.500  0.000  0.887
Be  0.000  0.000  0.500
Be  0.000  0.500  0.113

Output
* electronic total energy: -5.91 eV per atom
* space-group type: No. 115
* crystal system: tetragonal